Record 1
## ReHg2Ir (PBE-GGA)

Data for a relaxed structure of ReHg2Ir.

As for the space-group type: R-3m, No. 166. Its energy relative to the lowest polymorph listed for this composition is 1.91 eV per formula unit.

Geometry as POSCAR:
```
ReHg2Ir
1.0
1.469 0.848 9.337
-1.469 0.848 9.337
0.000 -1.697 9.337
Re Hg Ir
1 2 1
Cartesian
0.000 0.000 0.000
0.000 0.000 6.975
0.000 0.000 21.037
0.000 0.000 14.006
```

=====

Record 2
## Re2HgIr (PBE-GGA)

Data for a relaxed structure of Re2HgIr.

As for the space-group type: P4/mmm, No. 123. The total energy is -7.76 eV per atom.

Geometry as POSCAR:
```
Re2HgIr
1.0
3.903 0.000 0.000
0.000 3.903 0.000
0.000 0.000 4.199
Re Hg Ir
2 1 1
Cartesian
0.000 1.952 0.000
1.952 0.000 0.000
0.000 0.000 2.099
1.952 1.952 2.099
```

=====

Record 3
## Re2HgIr (PBE-GGA)

Data for a relaxed structure of Re2HgIr.

As for the space-group type: C2/m, No. 12. The total energy is -8.00 eV per atom.

Geometry as POSCAR:
```
Re2HgIr
1.0
4.747 -1.414 0.000
4.747 1.414 0.000
-0.886 0.000 4.791
Re Hg Ir
2 1 1
Cartesian
2.058 0.000 1.090
6.550 0.000 3.701
-0.443 0.000 2.396
4.747 0.000 0.000
```